[1]
Below is a relaxed NbAlIrW2 crystal, with properties calculated at the PBE-GGA level.

POSCAR file:
```
NbAlIrW2
1.0
-4.6433 -0.0277 -0.7041
0.7045 -0.2231 -4.6372
-0.0061 -4.6911 0.2248
W Nb Al Ir
2 1 1 1
Direct
0.0000 0.0000 0.5000
0.5000 0.0000 0.0000
0.0000 0.0000 0.0000
0.0000 0.5000 0.0000
0.5000 0.5000 0.5000
```

Values from the calculation:
SG ... P4/mmm (123)
Calculated total energy ... -7.58 eV per atom
V ... 20.7 Å³/atom
DOS at the Fermi energy ... 1.651 states/eV/atom
Formation energy from the elements ... 207 kJ per mole of atoms


[2]
Below is a relaxed Y3NbSn crystal, with properties calculated at the PBE-GGA level.

POSCAR file:
```
Y3NbSn
1.0
5.6505 0.0000 0.0000
0.0000 5.6505 0.0000
0.0000 0.0000 5.6505
Y Sn Nb
3 1 1
Direct
0.0000 0.5000 0.0000
0.0000 0.0000 0.5000
0.5000 0.0000 0.0000
0.0000 0.0000 0.0000
0.5000 0.5000 0.5000
```

Values from the calculation:
SG ... Pm-3m (221)
Calculated total energy ... -5.91 eV per atom
V ... 36.1 Å³/atom
DOS at the Fermi energy ... 1.352 states/eV/atom
Energy above the lowest structure with this stoichiometry ... 8.60 kcal/mol of atoms
Formation energy from the elements ... 76 kJ per mole of atoms


[3]
Below is a relaxed BaCa2Pt2 crystal, with properties calculated at the PBE-GGA level.

POSCAR file:
```
BaCa2Pt2
1.0
-7.3923 2.2930 2.3904
1.8713 -1.9326 7.6407
1.4182 3.9046 0.6403
Ba Pt Ca
2 4 4
Direct
0.5000 0.5000 0.0000
0.0000 0.0000 0.0000
0.6232 0.1232 0.0000
0.3768 0.8768 0.0000
0.1232 0.3768 0.0000
0.8768 0.6232 0.0000
0.6529 0.8471 0.5000
0.3471 0.1529 0.5000
0.1529 0.6529 0.5000
0.8471 0.3471 0.5000
```

Values from the calculation:
SG ... P4/mbm (127)
Calculated total energy ... -4.30 eV per atom
V ... 27.6 Å³/atom
DOS at the Fermi energy ... 0.227 states/eV/atom
Energy above the lowest structure with this stoichiometry ... 1.62 kcal/mol of atoms
Formation energy from the elements ... -67 kJ per mole of atoms


[4]
Below is a relaxed CsZrAs2Br crystal, with properties calculated at the PBE-GGA level.

POSCAR file:
```
CsZrAs2Br
1.0
-4.8187 -0.9407 -2.7586
-0.4893 -4.9934 2.5576
-3.0540 2.5810 4.4546
As Cs Zr Br
2 1 1 1
Direct
0.5000 0.0000 0.0000
0.0000 0.5000 0.0000
0.0000 0.0000 0.0000
0.5000 0.5000 0.5000
0.0000 0.0000 0.5000
```

Values from the calculation:
SG ... P4/mmm (123)
Formation energy (no corrections) ... 1377 meV/atom
Calculated total energy ... -2.70 eV per atom
V ... 38.0 Å³/atom
DOS at the Fermi energy ... 1.160 states/eV/atom
Energy above the lowest structure with this stoichiometry ... 47.28 kcal/mol of atoms


[5]
Below is a relaxed Y2Mn2In crystal, with properties calculated at the PBE-GGA level.

POSCAR file:
```
Y2Mn2In
1.0
-4.8795 4.8834 -1.0218
-4.1027 -3.1142 4.7086
1.7632 2.4179 3.1355
Mn Y In
4 4 2
Direct
0.1037 0.3963 0.0000
0.3963 0.8963 0.0000
0.6037 0.1037 0.0000
0.8963 0.6037 0.0000
0.1824 0.6824 0.5000
0.6824 0.8176 0.5000
0.8176 0.3176 0.5000
0.3176 0.1824 0.5000
0.5000 0.5000 0.0000
0.0000 0.0000 0.0000
```

Values from the calculation:
SG ... P4/mbm (127)
Calculated total energy ... -6.83 eV per atom
V ... 21.1 Å³/atom
DOS at the Fermi energy ... 0.854 states/eV/atom
Formation energy from the elements ... -3 kJ per mole of atoms


[6]
Below is a relaxed La7SeI12 crystal, with properties calculated at the PBE-GGA level.

POSCAR file:
```
La7SeI12
1.0
9.6468 -0.2603 -2.9731
-3.9558 8.8023 -2.9731
-0.1735 -0.2604 10.0931
La Se I
7 1 12
Direct
0.5000 0.5000 0.5000
0.3170 0.1107 0.0390
0.6830 0.8893 0.9610
0.0390 0.3170 0.1107
0.8893 0.9610 0.6830
0.9610 0.6830 0.8893
0.1107 0.0390 0.3170
0.0000 0.0000 0.0000
0.6065 0.5230 0.8463
0.9230 0.3131 0.7715
0.3131 0.7715 0.9230
0.0770 0.6869 0.2285
0.4770 0.1537 0.3935
0.7715 0.9230 0.3131
0.8463 0.6065 0.5230
0.6869 0.2285 0.0770
0.3935 0.4770 0.1537
0.2285 0.0770 0.6869
0.1537 0.3935 0.4770
0.5230 0.8463 0.6065
```

Values from the calculation:
SG ... R-3 (148)
Formation energy (no corrections) ... -1488 meV/atom
Calculated total energy ... -4.32 eV per atom
V ... 41.6 Å³/atom
DOS at the Fermi energy ... 0.183 states/eV/atom


[7]
Below is a relaxed Ac3Al4Ag4 crystal, with properties calculated at the PBE-GGA level.

POSCAR file:
```
Ac3Al4Ag4
1.0
-0.9208 4.3526 0.3122
-4.2916 -0.9869 1.1516
1.0212 1.4916 14.0478
Al Ac Ag
4 3 4
Direct
0.6021 0.1000 0.7989
0.7496 0.7487 0.5008
0.3979 0.9000 0.2011
0.2504 0.2513 0.4992
0.0000 0.0000 0.0000
0.1508 0.6504 0.6987
0.8492 0.3496 0.3013
0.4482 0.4485 0.1036
0.5518 0.5515 0.8964
0.3029 0.8038 0.3941
0.6971 0.1963 0.6059
```

Values from the calculation:
SG ... P-1 (2)
Calculated total energy ... -3.84 eV per atom
V ... 25.5 Å³/atom
DOS at the Fermi energy ... 0.711 states/eV/atom
Energy above the lowest structure with this stoichiometry ... 0.09 kcal/mol of atoms
Formation energy from the elements ... -31 kJ per mole of atoms


[8]
Below is a relaxed LiAl6Au12 crystal, with properties calculated at the PBE-GGA level.

POSCAR file:
```
LiAl6Au12
1.0
7.3390 0.0000 2.3527
-3.5203 6.0935 2.5659
0.2984 0.0000 7.4845
Au Al Li
12 6 1
Direct
0.5213 0.8784 0.2779
0.2009 0.7221 0.1562
0.8239 0.9396 0.4338
0.7423 0.5662 0.3734
0.6429 0.8438 0.8784
0.7991 0.2779 0.8438
0.1157 0.3734 0.0604
0.1761 0.0604 0.5662
0.3571 0.1562 0.1216
0.4787 0.1216 0.7221
0.2577 0.4338 0.6266
0.8843 0.6266 0.9396
0.4552 0.4787 0.2302
0.3147 0.7698 0.7089
0.0236 0.7089 0.5213
0.9764 0.2911 0.4787
0.5448 0.5213 0.7698
0.6853 0.2302 0.2911
0.0000 0.0000 0.0000
```

Values from the calculation:
SG ... R-3 (148)
Calculated total energy ... -3.66 eV per atom
V ... 17.4 Å³/atom
DOS at the Fermi energy ... 0.273 states/eV/atom
Energy above the lowest structure with this stoichiometry ... 0.00 kcal/mol of atoms
Formation energy from the elements ... -30 kJ per mole of atoms